Here is a relaxed CrGaHF2 crystal from the Alexandria database. Energies are from PBE+U.

Cell and atoms, written as POSCAR:
```
CrGaHF2
1.0
4.428 0.000 0.000
0.000 3.486 0.000
0.000 0.000 4.428
F H Ga Cr
2 1 1 1
Direct
0.500 0.000 0.000
0.000 0.000 0.500
0.000 0.500 0.000
0.000 0.000 0.000
0.500 0.500 0.500
```

Calculated values
- space group = P4/mmm (123)
- electronic total energy (eV per cell) = -22.4
- calculated volume (Å³ per atom) = 13.7
- D(E_F) (states/eV/cell) = 1.23
- size of the total moment (μB per formula unit) = 5.07